Here is a crystal of CaMgGeMo2 relaxed with PBEsol from Alexandria. Energies are from SCAN.

abc: 4.696 4.696 5.191
angles: 90.00 90.00 90.00
Positions (direct):
Mo: 0.500 0.000 0.000
Ge: 0.000 0.000 0.000
Mg: 0.500 0.500 0.500
Mo: 0.000 0.500 0.000
Ca: 0.000 0.000 0.500

Results
Theoretical density = 4.77 g/cm3
Space group = P4/mmm, No. 123
DFT total energy = -19.80 eV per atom
ΔH_f (0 K) = 0.9031 eV per atom

Here is a crystal of ScCoTe2N relaxed with PBEsol from Alexandria. Energies are from SCAN.

abc: 3.772 5.570 5.570
angles: 90.00 90.00 90.00
Site moments in Bohr magnetons follow the coordinates.
Positions (direct):
Sc: 0.000 0.000 0.000  -0.01
Te: 0.000 0.000 0.500  -0.11
N: 0.500 0.000 0.000  -0.66
Co: 0.500 0.500 0.500  2.50
Te: 0.000 0.500 0.000  -0.11

Results
Theoretical density = 5.29 g/cm3
Space group = P4/mmm, No. 123
DFT total energy = -22.54 eV per atom
Formation energy without anion corrections = 51 kJ/mol of atoms

Here is a crystal of Hf3BeOs relaxed with PBEsol from Alexandria. Energies are from SCAN.

abc: 4.928 4.928 4.928
angles: 90.00 90.00 90.00
Positions (direct):
Hf: 0.000 0.500 0.000
Be: 0.500 0.500 0.500
Os: 0.000 0.000 0.000
Hf: 0.500 0.000 0.000
Hf: 0.000 0.000 0.500

Results
Theoretical density = 10.20 g/cm3
Space group = Pm-3m, No. 221
DFT total energy = -52.15 eV per atom
ΔH_f (0 K) = 0.7005 eV per atom

Here is a crystal of Sr4LiIn relaxed with PBEsol from Alexandria. Energies are from SCAN.

abc: 7.214 7.214 7.214
angles: 60.00 60.00 60.00
Positions (direct):
Li: 0.000 0.000 0.000
In: 0.750 0.750 0.750
Sr: 0.376 0.376 0.873
Sr: 0.873 0.376 0.376
Sr: 0.376 0.376 0.376
Sr: 0.376 0.873 0.376

Results
Theoretical density = 2.95 g/cm3
Space group = F-43m, No. 216
DFT total energy = -20.46 eV per atom
ΔH_f (0 K) = 0.3481 eV per atom

Here is a crystal of HgTePt relaxed with PBEsol from Alexandria. Energies are from SCAN.

abc: 3.863 3.863 5.290
angles: 90.00 90.00 120.00
Positions (direct):
Hg: 0.000 0.000 0.965
Pt: 0.333 0.667 0.648
Te: 0.667 0.333 0.387

Results
Polymorph energy (0 for the lowest one) = 0 meV/atom
Theoretical density = 12.71 g/cm3
Space group = P3m1, No. 156
DFT total energy = -58.66 eV per atom
Formation energy without anion corrections = -12 kJ/mol of atoms

Here is a crystal of PrCr2B6 relaxed with PBEsol from Alexandria. Energies are from SCAN.

abc: 3.085 5.507 5.507
angles: 72.69 73.73 73.73
Positions (direct):
B: 0.198 0.536 0.067
Cr: 0.654 0.346 0.346
B: 0.000 0.362 0.638
B: 0.802 0.933 0.464
B: 0.000 0.638 0.362
Cr: 0.346 0.654 0.654
B: 0.802 0.464 0.933
B: 0.198 0.067 0.536
Pr: 0.500 0.000 0.000

Results
Theoretical density = 6.14 g/cm3
Space group = Immm, No. 71
DFT total energy = -14.39 eV per atom
ΔH_f (0 K) = -0.5328 eV per atom

Number 1: magnetic moment 0.00 μB per formula unit. Number 2: magnetic moment 1.39 μB per formula unit. Number 3: magnetic moment 0.00 μB per formula unit. Number 4: magnetic moment 0.00 μB per formula unit. Number 5: magnetic moment 0.00 μB per formula unit. Number 6: magnetic moment 0.00 μB per formula unit.